Compound: TaAlI3
Source: Alexandria via LeMat-Bulk
Functional: PBE
Structure: relaxed

abc: 5.530 5.530 5.530
angles: 90.00 90.00 90.00
Element x y z (fractional)
1 Ta 0.000 0.000 0.000
2 Al 0.500 0.500 0.500
3 I 0.000 0.500 0.500
4 I 0.500 0.000 0.500
5 I 0.500 0.500 0.000

Properties
As for the uncorrected energy: -3.052 eV per atom. For the energy relative to the elements, uncorrected, the calculation gives 997 meV/atom. Its density of states at the Fermi level is 6.8 states/eV/cell. Its space group is Pm-3m (221).